# 1
RbTcO2 | Alexandria via LeMat-Bulk | PBE | optimized geometry; final energy = -20.0 eV for the cell shown; polymorph energy (0 for the lowest one) = 1310.7 meV/atom; E_form (uncorrected) = 300 meV/atom; Fermi-level density of states = 1.098 states/eV/atom
1.0
0.000 3.050 3.050
3.050 0.000 3.050
3.050 3.050 0.000
Rb Tc O
1 1 2
direct
0.000 0.000 0.000
0.500 0.500 0.500
0.250 0.250 0.250
0.750 0.750 0.750

# 2
Zn6CdAu8 | Alexandria via LeMat-Bulk | PBE | optimized geometry; final energy = -36.6 eV for the cell shown; ΔH_f (0 K) = -0.12 eV per atom; Fermi-level density of states = 0.287 states/eV/atom
1.0
3.879 2.239 5.314
-3.879 2.239 5.314
0.000 -4.479 5.314
Zn Cd Au
6 1 8
direct
0.080 0.406 0.696
0.304 0.920 0.594
0.406 0.696 0.080
0.594 0.304 0.920
0.696 0.080 0.406
0.920 0.594 0.304
0.000 0.000 0.000
0.103 0.799 0.428
0.201 0.572 0.897
0.317 0.317 0.317
0.428 0.103 0.799
0.572 0.897 0.201
0.683 0.683 0.683
0.799 0.428 0.103
0.897 0.201 0.572

# 3
Pr12Er5Th | Alexandria via LeMat-Bulk | PBE | optimized geometry; final energy = -87.0 eV for the cell shown; ΔH_f (0 K) = 0.03 eV per atom; Fermi-level density of states = 1.601 states/eV/atom
1.0
7.739 -7.755 0.000
7.739 7.755 0.000
0.000 0.000 5.173
Pr Er Th
12 5 1
direct
0.003 0.330 0.500
0.162 0.838 0.000
0.170 0.498 0.000
0.330 0.003 0.500
0.337 0.663 0.500
0.498 0.170 0.000
0.502 0.830 0.000
0.663 0.337 0.500
0.670 0.997 0.500
0.830 0.502 0.000
0.838 0.162 0.000
0.997 0.670 0.500
0.000 0.000 0.500
0.168 0.168 0.000
0.337 0.337 0.500
0.663 0.663 0.500
0.832 0.832 0.000
0.500 0.500 0.000

# 4
TlTc2S | Alexandria via LeMat-Bulk | PBE | optimized geometry; final energy = -50.6 eV for the cell shown; polymorph energy (0 for the lowest one) = 0.0 meV/atom; E_form (uncorrected) = 478 meV/atom; Fermi-level density of states = 1.260 states/eV/atom
1.0
-3.512 3.512 2.877
3.512 -3.512 2.877
3.512 3.512 -2.877
Tl Tc S
2 4 2
direct
0.000 0.000 0.000
0.750 0.250 0.500
0.209 0.625 0.084
0.375 0.459 0.584
0.541 0.125 0.916
0.875 0.791 0.416
0.250 0.750 0.500
0.500 0.500 0.000

# 5
PaNb2ReC4 | Alexandria via LeMat-Bulk | PBE | optimized geometry; final energy = -161.4 eV for the cell shown; ΔH_f (0 K) = -0.21 eV per atom; Fermi-level density of states = 0.480 states/eV/atom
1.0
1.624 -5.748 0.000
1.624 5.748 0.000
0.000 0.000 11.130
Pa Nb Re C
2 4 2 8
direct
0.106 0.894 0.750
0.894 0.106 0.250
0.373 0.627 0.538
0.373 0.627 0.962
0.627 0.373 0.038
0.627 0.373 0.462
0.156 0.844 0.250
0.844 0.156 0.750
0.000 0.000 0.000
0.000 0.000 0.500
0.269 0.731 0.117
0.269 0.731 0.383
0.449 0.551 0.750
0.551 0.449 0.250
0.731 0.269 0.617
0.731 0.269 0.883

# 6
MgSc2Pt | Alexandria via LeMat-Bulk | PBE | optimized geometry; final energy = -23.0 eV for the cell shown; ΔH_f (0 K) = -0.67 eV per atom; Fermi-level density of states = 0.701 states/eV/atom
1.0
3.410 0.000 0.000
0.000 3.410 0.000
0.000 0.000 6.996
Mg Sc Pt
1 2 1
direct
0.000 0.000 0.000
0.500 0.500 0.280
0.500 0.500 0.720
0.000 0.000 0.500

Question: What is the formula in the fifth record?
Answer: PaNb2ReC4

Question: Among the records above, which one has the highest final energy?
Answer: RbTcO2

Question: The lowest Fermi-level density of states belongs to which entry?
Answer: Zn6CdAu8

Question: The highest Fermi-level density of states belongs to which entry?
Answer: Pr12Er5Th